## BaNd2Gd (PBE-GGA)

Data for a relaxed structure of BaNd2Gd.

Cell lengths 3.7868, 3.7868, 10.8982 Å; angles 90.00, 90.00, 90.00 degrees
Last column: nearest neighbours and their distance in Å.
Element x y z (fractional)
Ba: 0.0000 0.0000 0.0000  4 Ba 3.79, 8 Nd 4.08
Nd: 0.5000 0.5000 0.2820  4 Gd 3.58, 4 Nd 3.79
Nd: 0.5000 0.5000 0.7180  4 Gd 3.58, 4 Nd 3.79
Gd: 0.0000 0.0000 0.5000  8 Nd 3.58, 4 Gd 3.79

The value obtained for the energy above the most stable polymorph in this dataset is 0 meV/atom. The space-group type is No. 123.

## BaNdGd (PBE-GGA)

Data for a relaxed structure of BaNdGd.

Cell lengths 8.8368, 8.8368, 8.8368 Å; angles 155.13, 155.13, 35.47 degrees
Last column: nearest neighbours and their distance in Å.
Element x y z (fractional)
Ba: 0.0000 0.0000 0.0000  4 Ba 3.81, 4 Nd 4.07, 4 Gd 4.08
Nd: 0.6814 0.6814 0.0000  4 Gd 3.54, 4 Nd 3.81
Gd: 0.3179 0.3179 0.0000  4 Nd 3.54, 4 Gd 3.81

The value obtained for the energy above the most stable polymorph in this dataset is 0 meV/atom. The space-group type is No. 107.

## BaNdGd2 (PBE-GGA)

Data for a relaxed structure of BaNdGd2.

Cell lengths 13.1482, 13.1482, 13.1482 Å; angles 16.04, 16.04, 16.04 degrees
Last column: nearest neighbours and their distance in Å.
Element x y z (fractional)
Ba: 0.0000 0.0000 0.0000  2 Gd 3.61, 6 Ba 3.67
Nd: 0.5000 0.5000 0.5000  6 Gd 3.57, 6 Nd 3.67
Gd: 0.0928 0.0928 0.0928  3 Nd 3.57, 1 Ba 3.61, 6 Gd 3.67
Gd: 0.9072 0.9072 0.9072  3 Nd 3.57, 1 Ba 3.61, 6 Gd 3.67

The value obtained for the energy above the most stable polymorph in this dataset is 74 meV/atom. The space-group type is No. 166.

## BaGdNi4 (PBE-GGA)

Data for a relaxed structure of BaGdNi4.

Cell lengths 5.2433, 5.2433, 5.2433 Å; angles 60.00, 60.00, 60.00 degrees
Last column: nearest neighbours and their distance in Å.
Element x y z (fractional)
Ba: 0.0000 0.0000 0.0000  12 Ni 3.08, 4 Gd 3.21
Gd: 0.2500 0.2500 0.2500  12 Ni 3.07, 4 Ba 3.21
Ni: 0.1302 0.6233 0.6233  6 Ni 2.59-2.66
Ni: 0.6233 0.1302 0.6233  6 Ni 2.59-2.66
Ni: 0.6233 0.6233 0.1302  6 Ni 2.59-2.66
Ni: 0.6233 0.6233 0.6233  6 Ni 2.59-2.66

The space-group type is No. 216.

Number 1: formation enthalpy at 0 K 0.112 eV per atom. Number 2: formation enthalpy at 0 K 0.129 eV per atom. Number 3: formation enthalpy at 0 K 0.200 eV per atom. Number 4: formation enthalpy at 0 K -0.052 eV per atom.